Sm2TmHg3: optimized geometry, PBE.

Properties
The calculation puts the formation energy at -0.4675 eV/atom. Its excess energy over the best structure of this formula in the dataset is 0.004 eV/atom.

Unit cell a=5.3045 b=5.3045 c=13.0678 alpha=90.00 beta=90.00 gamma=120.00
Closest atoms and distances in Å follow each position.
Fractional positions:
Sm (0.0000, 0.0000, 0.5000)  8 Hg 3.21-3.24
Sm (0.3333, 0.6667, 0.1699)  8 Hg 3.25-3.35
Sm (0.6667, 0.3333, 0.8301)  8 Hg 3.25-3.35
Sm (0.0000, 0.0000, 0.0000)  8 Hg 3.26-3.32
Tm (0.3333, 0.6667, 0.6673)  8 Hg 3.22-3.26
Tm (0.6667, 0.3333, 0.3327)  8 Hg 3.22-3.26
Hg (0.3333, 0.6667, 0.4186)  4 Sm 3.24-3.25, 4 Tm 3.25-3.26
Hg (0.6667, 0.3333, 0.0863)  1 Tm 3.22, 7 Sm 3.25-3.35
Hg (0.0000, 0.0000, 0.7459)  5 Sm 3.21-3.32, 3 Tm 3.23
Hg (0.0000, 0.0000, 0.2541)  5 Sm 3.21-3.32, 3 Tm 3.23
Hg (0.3333, 0.6667, 0.9137)  1 Tm 3.22, 7 Sm 3.25-3.35
Hg (0.6667, 0.3333, 0.5814)  4 Sm 3.24-3.25, 4 Tm 3.25-3.26

---

WC7: optimized geometry, PBE.

Properties
The calculation puts the formation energy at 3.3593 eV/atom.

Unit cell a=4.4839 b=4.4839 c=4.4839 alpha=60.00 beta=60.00 gamma=60.00
Closest atoms and distances in Å follow each position.
Fractional positions:
W (0.0000, 0.0000, 0.0000)  12 C 2.24
C (0.5000, 0.5000, 0.0000)  2 W 2.24, 10 C 2.24
C (0.5000, 0.0000, 0.5000)  2 W 2.24, 10 C 2.24
C (0.5000, 0.0000, 0.0000)  2 W 2.24, 10 C 2.24
C (0.0000, 0.0000, 0.5000)  2 W 2.24, 10 C 2.24
C (0.0000, 0.5000, 0.0000)  2 W 2.24, 10 C 2.24
C (0.0000, 0.5000, 0.5000)  2 W 2.24, 10 C 2.24
C (0.5000, 0.5000, 0.5000)  12 C 2.24

---

TaTl2Si: optimized geometry, PBE.

Properties
Its uncorrected formation energy is 0.6852 eV per atom. Its excess energy over the best structure of this formula in the dataset is 0.406 eV/atom.

Unit cell a=6.2499 b=6.2499 c=3.1095 alpha=73.05 beta=73.05 gamma=119.74
Closest atoms and distances in Å follow each position.
Fractional positions:
Si (0.5000, 0.0000, 0.5000)  4 Ta 2.86-3.14, 4 Tl 3.06, 2 Si 3.11
Ta (0.0000, 0.5000, 0.5000)  4 Si 2.86-3.14, 4 Tl 3.06, 2 Ta 3.11
Tl (0.0000, 0.0000, 0.0000)  6 Tl 2.86-3.14, 2 Si 3.06, 2 Ta 3.06
Tl (0.5000, 0.5000, 0.0000)  6 Tl 2.86-3.14, 2 Ta 3.06, 2 Si 3.06

---

GeAsBr: optimized geometry, PBE.

Properties
Its uncorrected formation energy is -0.0908 eV per atom. Its excess energy over the best structure of this formula in the dataset is 0.170 eV/atom.

Unit cell a=5.1246 b=8.5407 c=9.4217 alpha=113.91 beta=90.00 gamma=90.00
Closest atoms and distances in Å follow each position.
Fractional positions:
Ge (0.4998, 0.7997, 0.4262)  2 As 2.58-2.59, 2 Br 2.70-2.71
Ge (0.0002, 0.7997, 0.9262)  2 As 2.58-2.59, 2 Br 2.70-2.71
Ge (0.9998, 0.2003, 0.0738)  2 As 2.58-2.59, 2 Br 2.70-2.71
Ge (0.5002, 0.2003, 0.5738)  2 As 2.58-2.59, 2 Br 2.70-2.71
As (0.0002, 0.0001, 0.2182)  2 Ge 2.58-2.59, 2 As 2.63
As (0.4998, 0.0001, 0.7182)  2 Ge 2.58-2.59, 2 As 2.63
As (0.5002, 0.9999, 0.2818)  2 Ge 2.58-2.59, 2 As 2.63
As (0.9998, 0.9999, 0.7818)  2 Ge 2.58-2.59, 2 As 2.63
Br (0.5000, 0.6886, 0.8865)  2 Ge 2.70-2.71
Br (0.0000, 0.6886, 0.3865)  2 Ge 2.70-2.71
Br (0.0000, 0.3114, 0.6135)  2 Ge 2.70-2.71
Br (0.5000, 0.3114, 0.1135)  2 Ge 2.70-2.71

---

Rb4Na2Tl: optimized geometry, PBE.

Properties
The calculation puts the formation energy at 0.1263 eV/atom.

Unit cell a=7.1652 b=7.1652 c=11.1415 alpha=108.76 beta=108.76 gamma=90.00
Closest atoms and distances in Å follow each position.
Fractional positions:
Na (0.6050, 0.6050, 0.2100)  5 Rb 4.08-4.14, 1 Na 4.17
Na (0.3950, 0.3950, 0.7900)  5 Rb 4.08-4.14, 1 Na 4.17
Tl (0.0000, 0.0000, 0.0000)  6 Rb 3.58-3.75
Rb (0.8108, 0.8108, 0.6217)  1 Tl 3.75, 1 Na 4.08
Rb (0.1892, 0.1892, 0.3783)  1 Tl 3.75, 1 Na 4.08
Rb (0.0000, 0.5000, 0.0000)  2 Tl 3.58
Rb (0.5000, 0.0000, 0.0000)  2 Tl 3.58

---

Ba3NaZn8: optimized geometry, PBE.

Properties
The calculation puts the formation energy at -0.1105 eV/atom.

Unit cell a=6.0589 b=6.0589 c=9.2136 alpha=90.00 beta=90.00 gamma=120.00
Closest atoms and distances in Å follow each position.
Fractional positions:
Ba (0.6667, 0.3333, 0.4554)  12 Zn 3.32-3.56, 3 Na 3.60
Ba (0.6667, 0.3333, 0.0496)  12 Zn 3.38-3.57, 4 Ba 3.65-3.74
Ba (0.0000, 0.0000, 0.9383)  12 Zn 3.46-3.55, 1 Na 3.62, 3 Ba 3.65
Na (0.0000, 0.0000, 0.5456)  12 Zn 3.28-3.56, 4 Ba 3.60-3.62
Zn (0.3333, 0.6667, 0.5007)  6 Zn 2.77-2.80
Zn (0.3333, 0.6667, 0.0047)  6 Zn 2.81-2.83
Zn (0.4825, 0.9650, 0.7485)  4 Zn 2.71-2.83
Zn (0.4825, 0.5175, 0.7485)  4 Zn 2.71-2.83
Zn (0.0350, 0.5175, 0.7485)  4 Zn 2.71-2.83
Zn (0.1788, 0.3575, 0.2534)  4 Zn 2.80-2.81
Zn (0.1788, 0.8212, 0.2534)  4 Zn 2.80-2.81
Zn (0.6425, 0.8212, 0.2534)  4 Zn 2.80-2.81

---

Te5C: optimized geometry, PBE.

Properties
Its uncorrected formation energy is 0.9909 eV per atom. Its excess energy over the best structure of this formula in the dataset is 0.349 eV/atom.

Unit cell a=3.1819 b=3.1819 c=16.8315 alpha=90.00 beta=90.00 gamma=90.00
Closest atoms and distances in Å follow each position.
Fractional positions:
Te (0.0000, 0.0000, 0.9163)  4 C 2.65, 1 Te 2.82
Te (0.0000, 0.0000, 0.0837)  4 C 2.65, 1 Te 2.82
Te (0.5000, 0.5000, 0.7400)  4 Te 3.18
Te (0.5000, 0.5000, 0.2600)  4 Te 3.18
Te (0.0000, 0.0000, 0.5000)  4 Te 3.18
C (0.5000, 0.5000, 0.0000)  8 Te 2.65

---

TaZnCo2H: optimized geometry, PBE.

Properties
The value obtained for the energy is -6.125 eV/atom.

Unit cell a=3.7937 b=3.7937 c=3.8009 alpha=90.00 beta=90.00 gamma=90.00
Closest atoms and distances in Å follow each position.
Fractional positions:
H (0.0000, 0.0000, 0.0000)  4 Co 1.90, 2 Ta 1.90
Zn (0.5000, 0.5000, 0.5000)  4 Ta 2.68, 8 Co 2.69
Co (0.0000, 0.5000, 0.0000)  2 H 1.90
Co (0.5000, 0.0000, 0.0000)  2 H 1.90
Ta (0.0000, 0.0000, 0.5000)  2 H 1.90

---

LaIn: optimized geometry, PBE.

Properties
The calculation puts the formation energy at -0.2228 eV/atom.

Unit cell a=3.6886 b=3.6886 c=9.3062 alpha=90.00 beta=90.00 gamma=90.00
Closest atoms and distances in Å follow each position.
Fractional positions:
In (0.2500, 0.2500, 0.0958)  4 In 3.16, 4 La 3.45
In (0.7500, 0.7500, 0.9042)  4 In 3.16, 4 La 3.45
La (0.2500, 0.2500, 0.6619)  4 In 3.45, 4 La 3.69
La (0.7500, 0.7500, 0.3381)  4 In 3.45, 4 La 3.69